! Pr2Y6Tm | the Alexandria database | PBE | relaxed; values from VASP
! DFT formation energy ... 0.64 eV/f.u.
! Space group ... Ibam, No. 72
! Density of states at the Fermi level ... 1.723 states/eV/atom
&SYSTEM
  ibrav = 0, nat = 18, ntyp = 3
/
ATOMIC_SPECIES
Pr 140.91 Pr.upf
Y 88.91 Y.upf
Tm 168.93 Tm.upf
CELL_PARAMETERS angstrom
6.6041 0.1025 2.2326
2.1633 9.4411 4.0470
0.1689 2.1002 10.2836
ATOMIC_POSITIONS crystal
Pr 0.0830 0.6670 0.6671
Pr 0.4170 0.3329 0.3330
Pr 0.9170 0.3330 0.3329
Pr 0.5830 0.6671 0.6670
Y 0.4938 0.6760 0.3364
Y 0.0062 0.6636 0.3240
Y 0.5062 0.3240 0.6636
Y 0.9938 0.3364 0.6760
Y 0.8407 0.9918 0.3273
Y 0.6593 0.6727 0.0082
Y 0.1593 0.0082 0.6727
Y 0.3407 0.3273 0.9918
Y 0.1701 0.6660 0.9935
Y 0.3299 0.0065 0.3340
Y 0.8299 0.3340 0.0065
Y 0.6701 0.9935 0.6660
Tm 0.2500 0.0002 0.9998
Tm 0.7500 0.9998 0.0002

=====

! PrY12Tm3 | the Alexandria database | PBE | relaxed; values from VASP
! DFT formation energy ... 0.42 eV/f.u.
! Space group ... P4/mmm, No. 123
! Density of states at the Fermi level ... 1.434 states/eV/atom
&SYSTEM
  ibrav = 0, nat = 16, ntyp = 3
/
ATOMIC_SPECIES
Pr 140.91 Pr.upf
Y 88.91 Y.upf
Tm 168.93 Tm.upf
CELL_PARAMETERS angstrom
5.0408 0.0000 0.0000
0.0000 5.0408 0.0000
0.0000 0.0000 20.1846
ATOMIC_POSITIONS crystal
Pr 0.0000 0.0000 0.0000
Y 0.5000 0.5000 0.0000
Y 0.5000 0.5000 0.2524
Y 0.5000 0.5000 0.5000
Y 0.5000 0.5000 0.7476
Y 0.5000 0.0000 0.1277
Y 0.5000 0.0000 0.3760
Y 0.5000 0.0000 0.6240
Y 0.5000 0.0000 0.8723
Y 0.0000 0.5000 0.1277
Y 0.0000 0.5000 0.3760
Y 0.0000 0.5000 0.6240
Y 0.0000 0.5000 0.8723
Tm 0.0000 0.0000 0.2517
Tm 0.0000 0.0000 0.5000
Tm 0.0000 0.0000 0.7483

=====

! Pr2Y7Tm | the Alexandria database | PBE | relaxed; values from VASP
! DFT formation energy ... 0.20 eV/f.u.
! Space group ... P-1, No. 2
! Density of states at the Fermi level ... 1.445 states/eV/atom
&SYSTEM
  ibrav = 0, nat = 10, ntyp = 3
/
ATOMIC_SPECIES
Pr 140.91 Pr.upf
Y 88.91 Y.upf
Tm 168.93 Tm.upf
CELL_PARAMETERS angstrom
7.6210 2.4013 -0.6287
3.9419 8.1315 -2.9180
-0.3242 0.0314 6.1995
ATOMIC_POSITIONS crystal
Pr 0.4978 0.7013 0.6022
Pr 0.5022 0.2987 0.3978
Y 0.0006 0.8002 0.3999
Y 0.9994 0.1998 0.6001
Y 0.9994 0.6009 0.8002
Y 0.0006 0.3991 0.1998
Y 0.4991 0.9006 0.2001
Y 0.5009 0.0994 0.7999
Y 0.5000 0.5000 0.0000
Tm 0.0000 0.0000 0.0000